VASP calculation (PBE) on In6Hg12I after structural relaxation.

The formation energy (no corrections) is 0.01 eV/atom. The value obtained for the magnetic moment is 0.00 μB per cell.

The structure belongs to space group R-3m (No. 166, hexagonal axes); the cell edges are 13.8267, 13.8267 and 9.9811 Å and the angles 90.00°, 90.00° and 120.00°. The asymmetric unit holds In at (0.0577, 0.5288, 0.2284), Hg at (0.0000, 0.3896, 0.5000), Hg at (0.0793, 0.1587, 0.2825) and I at (0.0000, 0.0000, 0.0000).